# 1
A plane-wave DFT calculation with PBE was carried out for crystalline HoGeC at its relaxed geometry.

Output
Fermi-level density of states ... 0.5 states/eV/cell
Energy relative to the elements ... -0.126 eV/atom

a = 4.573 Å, b = 4.597 Å, c = 6.289 Å
α = 93.50°, β = 90.07°, γ = 119.77°
Space group P1 (No. 1)
Unique sites:
Ho 0.000 0.000 0.000 [1 per cell]
Ho 0.329 0.660 0.524 [1 per cell]
Ge 0.662 0.325 0.220 [1 per cell]
Ge 0.667 0.333 0.798 [1 per cell]
C 0.031 0.066 0.444 [1 per cell]
C 0.878 0.758 0.362 [1 per cell]



# 2
A plane-wave DFT calculation with PBE was carried out for crystalline Ho4GeC2 at its relaxed geometry.

Output
Fermi-level density of states ... 10.1 states/eV/cell
E above lowest polymorph ... 0.000 eV/atom
Energy relative to the elements ... -0.484 eV/atom

a = 3.712 Å, b = 12.187 Å, c = 12.470 Å
α = 90.00°, β = 90.00°, γ = 90.00°
Space group Cmcm (No. 63)
Unique sites:
Ho 0.000 0.000 0.000 [4 per cell]
Ho 0.000 0.266 0.106 [8 per cell]
Ho 0.000 0.433 0.750 [4 per cell]
Ge 0.000 0.111 0.750 [4 per cell]
C 0.000 0.364 0.560 [8 per cell]



# 3
A plane-wave DFT calculation with PBE was carried out for crystalline Ho6Ge3C at its relaxed geometry.

Output
Fermi-level density of states ... 13.5 states/eV/cell
Energy relative to the elements ... -0.616 eV/atom

a = 6.332 Å, b = 7.661 Å, c = 11.698 Å
α = 90.00°, β = 122.16°, γ = 90.00°
Space group P2_1/c (No. 14)
Unique sites:
Ho 0.097 0.049 0.232 [4 per cell]
Ho 0.205 0.706 0.063 [4 per cell]
Ho 0.383 0.164 0.062 [4 per cell]
Ge 0.310 0.106 0.746 [4 per cell]
Ge 0.500 0.000 0.500 [2 per cell]
C 0.000 0.000 0.000 [2 per cell]



# 4
A plane-wave DFT calculation with PBE was carried out for crystalline Ho7Ge2C2 at its relaxed geometry.

Output
Fermi-level density of states ... 18.2 states/eV/cell
Energy relative to the elements ... -0.159 eV/atom

a = 7.848 Å, b = 11.541 Å, c = 6.984 Å
α = 90.00°, β = 97.83°, γ = 90.00°
Space group C2/m (No. 12)
Unique sites:
Ho 0.000 0.000 0.000 [2 per cell]
Ho 0.080 0.500 0.788 [4 per cell]
Ho 0.247 0.186 0.757 [8 per cell]
Ge 0.000 0.316 0.500 [4 per cell]
C 0.219 0.500 0.109 [4 per cell]



# 5
A plane-wave DFT calculation with PBE was carried out for crystalline Ho8Ge2C3 at its relaxed geometry.

Output
Fermi-level density of states ... 15.9 states/eV/cell
Energy relative to the elements ... -0.405 eV/atom

a = 14.186 Å, b = 7.227 Å, c = 6.345 Å
α = 90.00°, β = 107.98°, γ = 90.00°
Space group C2/m (No. 12)
Unique sites:
Ho 0.098 0.000 0.404 [4 per cell]
Ho 0.100 0.239 0.896 [8 per cell]
Ho 0.105 0.500 0.431 [4 per cell]
Ge 0.245 0.500 0.175 [4 per cell]
C 0.000 0.000 0.000 [2 per cell]
C 0.000 0.257 0.500 [4 per cell]



# 6
A plane-wave DFT calculation with PBE was carried out for crystalline Ho4Ge2C at its relaxed geometry.

Output
Fermi-level density of states ... 1.9 states/eV/cell
E above lowest polymorph ... 0.004 eV/atom
Energy relative to the elements ... -0.653 eV/atom

a = 4.668 Å, b = 4.668 Å, c = 15.122 Å
α = 90.00°, β = 90.00°, γ = 90.00°
Space group I4/mmm (No. 139)
Unique sites:
Ho 0.000 0.000 0.167 [4 per cell]
Ho 0.000 0.500 0.000 [4 per cell]
Ge 0.000 0.000 0.363 [4 per cell]
C 0.000 0.000 0.000 [2 per cell]



# 7
A plane-wave DFT calculation with PBE was carried out for crystalline Ho12Ge3C5 at its relaxed geometry.

Output
Fermi-level density of states ... 81.1 states/eV/cell
Energy relative to the elements ... -0.375 eV/atom

a = 15.440 Å, b = 15.440 Å, c = 15.440 Å
α = 90.00°, β = 90.00°, γ = 90.00°
Space group Ia-3d (No. 230)
Unique sites:
Ho 0.031 0.055 0.650 [96 per cell]
Ge 0.000 0.250 0.125 [24 per cell]
C 0.000 0.000 0.000 [16 per cell]
C 0.000 0.250 0.375 [24 per cell]



# 8
A plane-wave DFT calculation with PBE was carried out for crystalline Ho4Ge2C at its relaxed geometry.

Output
Fermi-level density of states ... 2.8 states/eV/cell
E above lowest polymorph ... 0.000 eV/atom
Energy relative to the elements ... -0.657 eV/atom

a = 6.561 Å, b = 14.909 Å, c = 6.750 Å
α = 90.00°, β = 90.00°, γ = 90.00°
Space group Cmce (No. 64)
Unique sites:
Ho 0.000 0.168 0.045 [8 per cell]
Ho 0.250 0.012 0.750 [8 per cell]
Ge 0.000 0.136 0.481 [8 per cell]
C 0.000 0.000 0.000 [4 per cell]



# 9
A plane-wave DFT calculation with PBE was carried out for crystalline Ho4Ge2C at its relaxed geometry.

Output
Fermi-level density of states ... 12.3 states/eV/cell
E above lowest polymorph ... 0.050 eV/atom
Energy relative to the elements ... -0.608 eV/atom

a = 11.395 Å, b = 3.960 Å, c = 8.184 Å
α = 90.00°, β = 123.90°, γ = 90.00°
Space group C2/m (No. 12)
Unique sites:
Ho 0.080 0.000 0.344 [4 per cell]
Ho 0.161 0.500 0.074 [4 per cell]
Ge 0.125 0.500 0.658 [4 per cell]
C 0.000 0.000 0.000 [2 per cell]



# 10
A plane-wave DFT calculation with PBE was carried out for crystalline Ho4GeC2 at its relaxed geometry.

Output
Fermi-level density of states ... 0.7 states/eV/cell
E above lowest polymorph ... 0.333 eV/atom
Energy relative to the elements ... -0.152 eV/atom

a = 7.352 Å, b = 7.352 Å, c = 6.118 Å
α = 90.00°, β = 90.00°, γ = 90.00°
Space group I4/m (No. 87)
Unique sites:
Ho 0.147 0.671 0.000 [8 per cell]
Ge 0.000 0.000 0.500 [2 per cell]
C 0.000 0.500 0.250 [4 per cell]



# 11
A plane-wave DFT calculation with PBE was carried out for crystalline Ho12Ge6C at its relaxed geometry.

Output
Fermi-level density of states ... 39.7 states/eV/cell
Energy relative to the elements ... -0.534 eV/atom

a = 12.2765 Å, b = 12.2765 Å, c = 11.7258 Å
α = 90.00°, β = 90.00°, γ = 120.00°
Space group R-3 (No. 148, hexagonal axes)
Unique sites:
Ho 0.0350 0.8294 0.3931 [18 per cell]
Ho 0.0453 0.8546 0.8858 [18 per cell]
Ge 0.0523 0.7779 0.6541 [18 per cell]
C 0.0000 0.0000 0.0000 [3 per cell]



# 12
A plane-wave DFT calculation with PBE was carried out for crystalline La3HoGe2C at its relaxed geometry.

Output
Fermi-level density of states ... 4.4 states/eV/cell
Energy relative to the elements ... -0.576 eV/atom

a = 4.810 Å, b = 4.948 Å, c = 16.110 Å
α = 90.00°, β = 90.00°, γ = 90.00°
Space group Immm (No. 71)
Unique sites:
La 0.000 0.000 0.000 [2 per cell]
La 0.000 0.500 0.169 [4 per cell]
Ho 0.000 0.000 0.500 [2 per cell]
Ge 0.000 0.500 0.366 [4 per cell]
C 0.000 0.500 0.000 [2 per cell]



Q: Which of these has the highest energy relative to the elements?
A: HoGeC



Q: energy relative to the elements of number 8 (Ho4Ge2C)?
A: -0.657 eV/atom



Please write out number 5 again, unchanged.
A plane-wave DFT calculation with PBE was carried out for crystalline Ho8Ge2C3 at its relaxed geometry.

Output
Fermi-level density of states ... 15.9 states/eV/cell
Energy relative to the elements ... -0.405 eV/atom

a = 14.186 Å, b = 7.227 Å, c = 6.345 Å
α = 90.00°, β = 107.98°, γ = 90.00°
Space group C2/m (No. 12)
Unique sites:
Ho 0.098 0.000 0.404 [4 per cell]
Ho 0.100 0.239 0.896 [8 per cell]
Ho 0.105 0.500 0.431 [4 per cell]
Ge 0.245 0.500 0.175 [4 per cell]
C 0.000 0.000 0.000 [2 per cell]
C 0.000 0.257 0.500 [4 per cell]



Q: Look up the energy relative to the elements of the third one.
A: -0.616 eV/atom